Here is a relaxed structure of Ga2NiTeO6 from the Alexandria database. Energies are from PBE with a Hubbard U. Values from VASP.

Computed properties:
The space-group type is C2/c. Its crystal system is monoclinic. The calculation puts the total energy at -5.5968 eV per atom.

Geometry as Quantum ESPRESSO input:
```
&SYSTEM
  ibrav = 0, nat = 20, ntyp = 4
/
ATOMIC_SPECIES
Ga 69.72 Ga.upf
O 16.00 O.upf
Ni 58.69 Ni.upf
Te 127.60 Te.upf
CELL_PARAMETERS angstrom
-3.2514 -0.2933 4.4497
4.5561 -2.0681 4.5958
1.5145 5.9533 2.9020
ATOMIC_POSITIONS crystal
Ga 0.7676 0.1907 0.3886
O 0.1050 0.6474 0.1175
O 0.3626 0.2051 0.9957
O 0.4358 0.5905 0.7293
O 0.1374 0.0043 0.7949
O 0.6374 0.7949 0.0043
O 0.8626 0.9957 0.2051
Ni 0.7500 0.0894 0.9106
O 0.6050 0.1175 0.6474
Ga 0.2324 0.8093 0.6114
Ni 0.2500 0.9106 0.0894
O 0.0642 0.2707 0.4095
Te 0.2500 0.2819 0.7181
Te 0.7500 0.7181 0.2819
O 0.5642 0.4095 0.2707
O 0.3950 0.8825 0.3526
Ga 0.2676 0.3886 0.1907
O 0.8950 0.3526 0.8825
Ga 0.7324 0.6114 0.8093
O 0.9358 0.7293 0.5905
```